Computed, not measured: a relaxed structure of Pm3SmSc3 at the PBE level of DFT.

**Formation energy**: 34.9 kJ/mol of formula units

abc: 5.559 9.354 9.354
angles: 120.00 90.00 90.00
Positions (direct):
Sm1 0.250 0.667 0.333
Sm2 0.750 0.333 0.667
Pm1 0.250 0.802 0.752
Pm2 0.250 0.950 0.198
Pm3 0.250 0.248 0.050
Pm4 0.750 0.050 0.802
Pm5 0.750 0.752 0.950
Pm6 0.750 0.198 0.248
Sc1 0.750 0.903 0.387
Sc2 0.750 0.613 0.515
Sc3 0.250 0.097 0.613
Sc4 0.750 0.485 0.097
Sc5 0.250 0.387 0.485
Sc6 0.250 0.515 0.903

=====

Computed, not measured: a relaxed structure of PmSm5Sc3 at the PBE level of DFT.

**Formation energy**: 388.6 kJ/mol of formula units

abc: 9.412 9.413 11.348
angles: 52.25 52.24 74.34
Positions (direct):
Sc1 0.317 0.317 0.190
Sc2 0.341 0.341 0.673
Sc3 0.683 0.683 0.810
Sc4 0.659 0.659 0.327
Sc5 0.000 0.000 0.000
Sc6 0.000 0.000 0.500
Pm1 0.822 0.822 0.401
Pm2 0.178 0.178 0.599
Sm1 0.507 0.507 0.222
Sm2 0.493 0.493 0.778
Sm3 0.351 0.857 0.530
Sm4 0.857 0.351 0.530
Sm5 0.161 0.160 0.093
Sm6 0.746 0.254 0.000
Sm7 0.143 0.649 0.470
Sm8 0.839 0.840 0.907
Sm9 0.649 0.143 0.470
Sm10 0.254 0.746 0.000

=====

Computed, not measured: a relaxed structure of PmSm2Sc2 at the PBE level of DFT.

**Formation energy**: 48.1 kJ/mol of formula units

abc: 8.492 8.492 6.531
angles: 99.87 99.87 134.92
Positions (direct):
Sm1 0.207 0.297 0.499
Sm2 0.297 0.207 0.999
Sm3 0.703 0.793 0.001
Sm4 0.793 0.703 0.501
Sc1 0.650 0.350 0.750
Sc2 0.249 0.751 0.750
Sc3 0.751 0.249 0.250
Sc4 0.350 0.650 0.250
Pm1 0.159 0.841 0.250
Pm2 0.841 0.159 0.750

=====

Computed, not measured: a relaxed structure of Pm3Sm8Sc at the PBE level of DFT.

**Formation energy**: 638.9 kJ/mol of formula units

abc: 8.433 8.433 8.433
angles: 94.13 117.64 117.64
Positions (direct):
Pm1 0.500 0.750 0.250
Pm2 0.500 0.250 0.750
Pm3 0.000 0.500 0.500
Sm1 0.000 0.257 0.781
Sm2 0.749 0.117 0.117
Sm3 0.000 0.781 0.257
Sm4 0.000 0.883 0.632
Sm5 0.524 0.743 0.743
Sm6 0.476 0.219 0.219
Sm7 0.251 0.368 0.368
Sm8 0.000 0.632 0.883
Sc1 0.000 0.000 0.000

=====

| no. | energy (eV/atom) |
| --- | --- |
| 1 | -5.372 |
| 2 | -4.813 |
| 3 | -5.271 |
| 4 | -4.310 |